(1)
Compound: BeAg2
Source: Alexandria
Functional: PBE
Structure: relaxed

Computed properties:
total energy = -2.802 eV/atom
V = 16.34 Å³/atom
E_form = 0.341 eV per atom

a = 5.2003 Å, b = 5.2003 Å, c = 6.2779 Å
α = 90.00°, β = 90.00°, γ = 120.00°
Space group P-31m (No. 162)
One atom of each set of equivalent atoms:
Be: 0.0000 0.0000 0.0000
Be: 0.3333 0.6667 0.5000
Ag: 0.0000 0.3596 0.2178

***

(2)
Compound: Be4Ag3
Source: Alexandria
Functional: PBE
Structure: relaxed

Computed properties:
total energy = -2.758 eV/atom
V = 14.25 Å³/atom
ΔE to the lowest computed polymorph = 3.13 eV/f.u.
E_form = 0.593 eV per atom

a = 5.2514 Å, b = 5.2514 Å, c = 4.1765 Å
α = 90.00°, β = 90.00°, γ = 120.00°
Space group P6/mmm (No. 191)
One atom of each set of equivalent atoms:
Be: 0.0000 0.0000 0.2483
Be: 0.3333 0.6667 0.0000
Ag: 0.0000 0.5000 0.5000

***

(3)
Compound: Be2Ag3
Source: Alexandria
Functional: PBE
Structure: relaxed

Computed properties:
total energy = -2.960 eV/atom
V = 14.86 Å³/atom
ΔE to the lowest computed polymorph = 0.05 eV/f.u.
E_form = 0.241 eV per atom

a = 4.1116 Å, b = 4.1116 Å, c = 5.0751 Å
α = 90.00°, β = 90.00°, γ = 120.00°
Space group P-3m1 (No. 164)
One atom of each set of equivalent atoms:
Be: 0.3333 0.6667 0.3571
Ag: 0.0000 0.0000 0.5000
Ag: 0.3333 0.6667 0.8451

***

(4)
Compound: Be7Ag
Source: Alexandria
Functional: PBE
Structure: relaxed

Computed properties:
total energy = -3.443 eV/atom
V = 9.48 Å³/atom
E_form = 0.174 eV per atom

a = 6.719 Å, b = 6.719 Å, c = 6.719 Å
α = 90.00°, β = 90.00°, γ = 90.00°
Space group Fm-3m (No. 225)
One atom of each set of equivalent atoms:
Be: 0.000 0.000 0.000
Be: 0.000 0.250 0.250
Ag: 0.000 0.000 0.500

***

(5)
Compound: BeAg5
Source: Alexandria
Functional: PBE
Structure: relaxed

Computed properties:
total energy = -2.831 eV/atom
V = 16.59 Å³/atom
ΔE to the lowest computed polymorph = 0.57 eV/f.u.
E_form = 0.166 eV per atom

a = 3.931 Å, b = 11.983 Å, c = 4.226 Å
α = 90.00°, β = 90.00°, γ = 90.00°
Space group Cmmm (No. 65)
One atom of each set of equivalent atoms:
Be: 0.000 0.000 0.000
Ag: 0.000 0.164 0.500
Ag: 0.000 0.344 0.000
Ag: 0.000 0.500 0.500

***

(6)
Compound: BeAg2
Source: Alexandria
Functional: PBE
Structure: relaxed

Computed properties:
total energy = -2.874 eV/atom
V = 15.18 Å³/atom
E_form = 0.269 eV per atom

a = 3.754 Å, b = 3.754 Å, c = 6.462 Å
α = 90.00°, β = 90.00°, γ = 90.00°
Space group P4/nmm (No. 129, origin choice 2)
One atom of each set of equivalent atoms:
Be: 0.250 0.250 0.238
Ag: 0.250 0.250 0.873
Ag: 0.250 0.750 0.500

***

(7)
Compound: BeAg2
Source: Alexandria
Functional: PBE
Structure: relaxed

Computed properties:
total energy = -3.009 eV/atom
V = 14.66 Å³/atom
E_form = 0.134 eV per atom

a = 9.356 Å, b = 2.860 Å, c = 7.221 Å
α = 90.00°, β = 114.44°, γ = 90.00°
Space group C2/m (No. 12)
One atom of each set of equivalent atoms:
Be: 0.196 0.000 0.082
Ag: 0.000 0.500 0.195
Ag: 0.168 0.000 0.603

***

(8)
Compound: Be2Ag
Source: Alexandria
Functional: PBE
Structure: relaxed

Computed properties:
total energy = -2.517 eV/atom
V = 14.67 Å³/atom
ΔE to the lowest computed polymorph = 2.67 eV/f.u.
E_form = 0.917 eV per atom

a = 5.604 Å, b = 5.604 Å, c = 5.604 Å
α = 90.00°, β = 90.00°, γ = 90.00°
Space group Pa-3 (No. 205)
One atom of each set of equivalent atoms:
Be: 0.122 0.122 0.122
Ag: 0.000 0.000 0.500